# 1
DFT (GGA-PBEsol) results for a relaxed structure of ScBeRe2.

Properties
As for the formation energy: 0.15 eV/atom. The crystal system is monoclinic. The calculation puts the magnetic moment at 0.0 μB/f.u.

Cell and atoms, written as POSCAR:
```
ScBeRe2
1.0
-0.058 2.862 -0.124
-3.532 0.042 2.607
2.774 -0.231 3.761
Sc Re Be
1 2 1
direct
0.500 0.500 0.000
0.815 0.000 0.739
0.185 0.000 0.261
0.000 0.500 0.500
```

# 2
DFT (GGA-PBEsol) results for a relaxed structure of LiCa3.

Properties
As for the formation energy: 0.06 eV/atom. The crystal system is monoclinic. The calculation puts the magnetic moment at 0.0 μB/f.u. Its energy above the most stable polymorph in this dataset is 0.030 eV per atom.

Cell and atoms, written as POSCAR:
```
LiCa3
1.0
-2.855 -2.413 -0.113
3.591 -4.219 -0.642
1.700 0.376 7.036
Ca Li
3 1
direct
0.083 0.000 0.763
0.500 0.500 0.500
0.917 0.000 0.237
0.500 0.500 0.000
```

# 3
DFT (GGA-PBEsol) results for a relaxed structure of CuW2.

Properties
As for the formation energy: 0.40 eV/atom. The crystal system is tetragonal. The calculation puts the magnetic moment at 0.0 μB/f.u. Its energy above the most stable polymorph in this dataset is 0.045 eV per atom.

Cell and atoms, written as POSCAR:
```
CuW2
1.0
-2.473 0.316 2.070
2.055 -0.246 2.493
0.721 4.080 -2.298
Cu W
1 2
direct
0.000 0.000 0.000
0.332 0.332 0.664
0.668 0.668 0.336
```

# 4
DFT (GGA-PBEsol) results for a relaxed structure of NaGaH4.

Properties
The crystal system is orthorhombic. The uncorrected energy is -0.11312 Ha/atom. The calculation puts the magnetic moment at 0.0 μB/f.u.

Cell and atoms, written as POSCAR:
```
NaGaH4
1.0
4.591 -0.024 0.000
-0.400 4.574 0.000
0.000 0.000 6.941
Na Ga H
2 2 8
direct
0.343 0.343 0.750
0.657 0.657 0.250
0.844 0.844 0.750
0.156 0.156 0.250
0.191 0.815 0.250
0.809 0.185 0.750
0.815 0.191 0.250
0.185 0.809 0.750
0.689 0.689 0.568
0.311 0.311 0.068
0.689 0.689 0.932
0.311 0.311 0.432
```

# 5
DFT (GGA-PBEsol) results for a relaxed structure of SiBRuO2.

Properties
The crystal system is tetragonal. For the formation energy (no corrections), the calculation gives -0.07 eV/atom. The calculation puts the magnetic moment at 0.1 μB/f.u.

Cell and atoms, written as POSCAR:
```
SiBRuO2
1.0
-0.438 -0.705 2.999
1.942 -2.415 -0.284
5.775 4.424 1.883
Ru Si B O
1 1 1 2
direct
0.500 0.500 0.500
0.000 0.000 0.500
0.000 0.000 0.000
0.000 0.500 0.000
0.500 0.000 0.000
```

# 6
DFT (GGA-PBEsol) results for a relaxed structure of SrAl2Tl.

Properties
As for the formation energy: -0.03 eV/atom. The crystal system is orthorhombic. The calculation puts the magnetic moment at 0.0 μB/f.u. Its energy above the most stable polymorph in this dataset is 0.016 eV per atom.

Cell and atoms, written as POSCAR:
```
SrAl2Tl
1.0
-1.197 -3.945 -1.390
0.132 -1.558 4.306
-4.559 4.072 -0.824
Sr Tl Al
1 1 2
direct
0.469 0.469 0.939
0.245 0.745 0.490
0.068 0.068 0.136
0.718 0.218 0.435
```

# 7
DFT (GGA-PBEsol) results for a relaxed structure of ZrTcMo2.

Properties
As for the formation energy: -0.11 eV/atom. The crystal system is cubic. The calculation puts the magnetic moment at 0.0 μB/f.u. Its energy above the most stable polymorph in this dataset is 0.000 eV per atom.

Cell and atoms, written as POSCAR:
```
ZrTcMo2
1.0
4.490 0.000 0.000
2.245 3.889 0.000
2.245 1.296 3.666
Mo Tc Zr
2 1 1
direct
0.000 0.000 0.000
0.750 0.750 0.750
0.500 0.500 0.500
0.250 0.250 0.250
```

# 8
DFT (GGA-PBEsol) results for a relaxed structure of TaMo6.

Properties
As for the formation energy: -0.07 eV/atom. The crystal system is trigonal. The calculation puts the magnetic moment at 0.0 μB/f.u. Its energy above the most stable polymorph in this dataset is 0.005 eV per atom.

Cell and atoms, written as POSCAR:
```
TaMo6
1.0
-4.429 -0.213 -0.319
-2.023 -3.950 -0.249
-2.600 -1.558 6.162
Mo Ta
6 1
direct
0.284 0.284 0.147
0.572 0.572 0.285
0.856 0.856 0.432
0.144 0.144 0.568
0.428 0.428 0.715
0.716 0.716 0.853
0.000 0.000 0.000
```

# 9
DFT (GGA-PBEsol) results for a relaxed structure of TlTe3.

Properties
The crystal system is orthorhombic. For the formation energy (no corrections), the calculation gives -0.06 eV/atom. The calculation puts the magnetic moment at 0.0 μB/f.u.

Cell and atoms, written as POSCAR:
```
TlTe3
1.0
6.646 0.000 0.000
0.000 9.380 0.000
0.000 0.000 12.305
Te Tl
18 6
direct
0.171 0.772 0.177
0.171 0.772 0.823
0.437 0.781 0.500
0.563 0.719 0.000
0.829 0.728 0.677
0.829 0.728 0.323
0.142 0.000 0.000
0.310 0.000 0.662
0.310 0.000 0.338
0.171 0.228 0.177
0.171 0.228 0.823
0.437 0.219 0.500
0.563 0.281 0.000
0.829 0.272 0.677
0.829 0.272 0.323
0.858 0.500 0.500
0.690 0.500 0.162
0.690 0.500 0.838
0.885 0.000 0.500
0.697 0.000 0.157
0.697 0.000 0.843
0.115 0.500 0.000
0.303 0.500 0.657
0.303 0.500 0.343
```

# 10
DFT (GGA-PBEsol) results for a relaxed structure of KSr3.

Properties
As for the formation energy: 0.10 eV/atom. The crystal system is cubic. The calculation puts the magnetic moment at 0.0 μB/f.u. Its energy above the most stable polymorph in this dataset is 0.053 eV per atom.

Cell and atoms, written as POSCAR:
```
KSr3
1.0
6.036 0.000 0.000
0.000 6.036 0.000
0.000 0.000 6.036
K Sr
1 3
direct
0.000 0.000 0.000
0.000 0.500 0.500
0.500 0.000 0.500
0.500 0.500 0.000
```

# 11
DFT (GGA-PBEsol) results for a relaxed structure of PdSeIO2.

Properties
The crystal system is tetragonal. For the formation energy (no corrections), the calculation gives 0.02 eV/atom. The calculation puts the magnetic moment at 0.0 μB/f.u.

Cell and atoms, written as POSCAR:
```
PdSeIO2
1.0
3.771 0.000 0.000
0.000 3.771 0.000
0.000 0.000 6.236
I O Se Pd
1 2 1 1
direct
0.000 0.000 0.500
0.000 0.500 0.000
0.500 0.000 0.000
0.000 0.000 0.000
0.500 0.500 0.500
```

# 12
DFT (GGA-PBEsol) results for a relaxed structure of Hf2TiRhS.

Properties
The crystal system is tetragonal. For the formation energy (no corrections), the calculation gives 0.77 eV/atom. The calculation puts the magnetic moment at 0.0 μB/f.u.

Cell and atoms, written as POSCAR:
```
Hf2TiRhS
1.0
4.251 0.000 0.000
0.000 4.959 0.000
0.000 0.000 4.959
Rh S Hf Ti
1 1 2 1
direct
0.500 0.000 0.000
0.500 0.500 0.500
0.000 0.000 0.500
0.000 0.500 0.000
0.000 0.000 0.000
```

# 13
DFT (GGA-PBEsol) results for a relaxed structure of CrCd2Se.

Properties
The crystal system is tetragonal. For the formation energy (no corrections), the calculation gives 0.03 eV/atom. The calculation puts the magnetic moment at 1.6 μB/f.u.

Cell and atoms, written as POSCAR:
```
CrCd2Se
1.0
3.034 0.000 0.000
0.000 3.034 0.000
0.000 0.000 8.010
Cd Cr Se
2 1 1
direct
0.000 0.000 0.007
0.500 0.500 0.286
0.000 0.000 0.530
0.500 0.500 0.677
```

# 14
DFT (GGA-PBEsol) results for a relaxed structure of Sb2OsW.

Properties
The crystal system is tetragonal. For the formation energy (no corrections), the calculation gives 0.58 eV/atom. The calculation puts the magnetic moment at 0.0 μB/f.u. Its energy above the most stable polymorph in this dataset is 0.000 eV per atom.

Cell and atoms, written as POSCAR:
```
Sb2OsW
1.0
3.267 0.000 0.000
0.000 3.267 0.000
0.000 0.000 6.513
Os Sb W
1 2 1
direct
0.500 0.500 0.500
0.000 0.000 0.753
0.000 0.000 0.247
0.500 0.500 0.000
```

# 15
DFT (GGA-PBEsol) results for a relaxed structure of URe2.

Properties
As for the formation energy: 0.04 eV/atom. The crystal system is orthorhombic. The calculation puts the magnetic moment at 0.0 μB/f.u.

Cell and atoms, written as POSCAR:
```
URe2
1.0
-3.041 4.019 -1.671
-2.712 -4.068 2.073
0.490 3.453 7.416
U Re
4 8
direct
0.338 0.662 0.586
0.662 0.338 0.086
0.662 0.338 0.414
0.338 0.662 0.914
0.175 0.825 0.250
0.167 0.341 0.250
0.833 0.659 0.750
0.000 0.000 0.000
0.659 0.833 0.250
0.341 0.167 0.750
0.825 0.175 0.750
0.000 0.000 0.500
```

# 16
DFT (GGA-PBEsol) results for a relaxed structure of Tl3AgRh.

Properties
As for the formation energy: 0.29 eV/atom. The crystal system is cubic. The calculation puts the magnetic moment at 0.0 μB/f.u.

Cell and atoms, written as POSCAR:
```
Tl3AgRh
1.0
-2.232 0.606 4.612
-1.112 -5.037 0.123
4.517 -0.940 2.310
Tl Rh Ag
3 1 1
direct
0.000 0.500 0.000
0.000 0.000 0.500
0.500 0.000 0.000
0.000 0.000 0.000
0.500 0.500 0.500
```

# 17
DFT (GGA-PBEsol) results for a relaxed structure of Tl4SnS4.

Properties
The crystal system is monoclinic. For the formation energy (no corrections), the calculation gives -0.37 eV/atom. The calculation puts the magnetic moment at 0.0 μB/f.u.

Cell and atoms, written as POSCAR:
```
Tl4SnS4
1.0
-7.189 -3.410 1.448
3.731 -6.907 2.256
-1.098 7.826 12.980
Tl Sn S
16 4 16
direct
0.296 0.100 0.138
0.796 0.900 0.362
0.704 0.900 0.862
0.204 0.100 0.638
0.671 0.887 0.113
0.171 0.113 0.387
0.329 0.113 0.887
0.829 0.887 0.613
0.101 0.702 0.132
0.601 0.298 0.368
0.899 0.298 0.868
0.399 0.702 0.632
0.477 0.527 0.123
0.977 0.473 0.377
0.523 0.473 0.877
0.023 0.527 0.623
0.618 0.293 0.622
0.118 0.707 0.878
0.382 0.707 0.378
0.882 0.293 0.122
0.312 0.436 0.282
0.812 0.564 0.218
0.688 0.564 0.718
0.188 0.436 0.782
0.859 0.199 0.532
0.359 0.801 0.968
0.141 0.801 0.468
0.641 0.199 0.032
0.942 0.092 0.211
0.442 0.908 0.289
0.058 0.908 0.789
0.558 0.092 0.711
0.879 0.677 0.968
0.379 0.323 0.532
0.121 0.323 0.032
0.621 0.677 0.468
```

# 18
DFT (GGA-PBEsol) results for a relaxed structure of AgPdC2.

Properties
As for the formation energy: 2.01 eV/atom. The crystal system is cubic. The calculation puts the magnetic moment at 0.0 μB/f.u.

Cell and atoms, written as POSCAR:
```
AgPdC2
1.0
3.945 0.000 0.000
1.972 3.416 0.000
1.972 1.139 3.221
C Pd Ag
2 1 1
direct
0.250 0.250 0.250
0.750 0.750 0.750
0.000 0.000 0.000
0.500 0.500 0.500
```

# 19
DFT (GGA-PBEsol) results for a relaxed structure of CaZr2Si.

Properties
The crystal system is tetragonal. For the formation energy (no corrections), the calculation gives -0.05 eV/atom. The calculation puts the magnetic moment at 0.0 μB/f.u.

Cell and atoms, written as POSCAR:
```
CaZr2Si
1.0
-0.601 -0.002 -4.262
1.156 -4.143 -0.161
-4.495 0.873 2.806
Ca Si Zr
1 1 2
direct
0.500 0.500 0.000
0.000 0.000 0.000
0.750 0.250 0.500
0.250 0.750 0.500
```

# 20
DFT (GGA-PBEsol) results for a relaxed structure of HoTaOs2.

Properties
As for the formation energy: -0.25 eV/atom. The crystal system is cubic. The calculation puts the magnetic moment at 0.0 μB/f.u.

Cell and atoms, written as POSCAR:
```
HoTaOs2
1.0
-4.115 -1.725 -1.005
-0.390 -4.359 -1.330
-1.932 -3.075 2.780
Os Ho Ta
2 1 1
direct
0.750 0.750 0.750
0.250 0.250 0.250
0.000 0.000 0.000
0.500 0.500 0.500
```

# 21
DFT (GGA-PBEsol) results for a relaxed structure of ThSe2O7.

Properties
The crystal system is monoclinic. For the formation energy (no corrections), the calculation gives -1.68 eV/atom. The calculation puts the magnetic moment at 0.0 μB/f.u.

Cell and atoms, written as POSCAR:
```
ThSe2O7
1.0
7.006 0.007 0.000
-2.055 8.796 0.000
0.000 0.000 9.576
Th Se O
4 8 28
direct
0.792 0.133 0.539
0.792 0.633 0.961
0.208 0.867 0.461
0.208 0.367 0.039
0.329 0.250 0.403
0.329 0.750 0.097
0.121 0.017 0.820
0.879 0.483 0.320
0.671 0.750 0.597
0.121 0.517 0.680
0.879 0.983 0.180
0.671 0.250 0.903
0.047 0.865 0.919
0.745 0.527 0.191
0.104 0.623 0.061
0.452 0.608 0.059
0.047 0.365 0.581
0.548 0.392 0.941
0.338 0.254 0.225
0.745 0.027 0.309
0.726 0.850 0.087
0.255 0.973 0.691
0.338 0.754 0.275
0.662 0.246 0.725
0.938 0.594 0.733
0.062 0.906 0.233
0.896 0.377 0.939
0.255 0.473 0.809
0.548 0.892 0.559
0.274 0.150 0.913
0.274 0.650 0.587
0.104 0.123 0.439
0.726 0.350 0.413
0.452 0.108 0.441
0.896 0.877 0.561
0.953 0.635 0.419
0.062 0.406 0.267
0.953 0.135 0.081
0.938 0.094 0.767
0.662 0.746 0.775
```

# 22
DFT (GGA-PBEsol) results for a relaxed structure of Ta3Tc.

Properties
As for the formation energy: -0.22 eV/atom. The crystal system is tetragonal. The calculation puts the magnetic moment at 0.0 μB/f.u. Its energy above the most stable polymorph in this dataset is 0.039 eV per atom.

Cell and atoms, written as POSCAR:
```
Ta3Tc
1.0
-0.419 3.162 -0.272
-4.400 -0.496 1.015
0.960 0.507 4.411
Tc Ta
1 3
direct
0.000 0.500 0.500
0.000 0.000 0.000
0.500 0.000 0.500
0.500 0.500 0.000
```

# 23
DFT (GGA-PBEsol) results for a relaxed structure of UCr6P4.

Properties
As for the formation energy: -0.60 eV/atom. The crystal system is hexagonal. The calculation puts the magnetic moment at 0.0 μB/f.u.

Cell and atoms, written as POSCAR:
```
UCr6P4
1.0
3.156 0.000 0.000
0.000 7.035 0.000
0.000 -3.517 6.092
U Cr P
1 6 4
direct
0.000 0.000 0.000
0.500 0.198 0.802
0.000 0.929 0.465
0.000 0.535 0.465
0.500 0.198 0.396
0.000 0.535 0.071
0.500 0.604 0.802
0.000 0.333 0.667
0.500 0.812 0.624
0.500 0.812 0.188
0.500 0.376 0.188
```